No. 1
## LaTl2Au (meta-GGA SCAN)

Data for a crystal of LaTl2Au relaxed with PBEsol.

Cell and atoms, written as CIF:
```
data_LaTl2Au
_space_group_name_H-M_alt 'P 1'
_space_group_IT_number 1
_cell_length_a 5.2074
_cell_length_b 5.2074
_cell_length_c 5.2074
_cell_angle_alpha 60.00
_cell_angle_beta 60.00
_cell_angle_gamma 60.00
loop_
_space_group_symop_operation_xyz
'x,y,z'
loop_
_atom_site_label
_atom_site_fract_x
_atom_site_fract_y
_atom_site_fract_z
Tl1 0.7500 0.7500 0.7500
Tl2 0.0000 0.0000 0.0000
La1 0.2500 0.2500 0.2500
Au1 0.5000 0.5000 0.5000
```

Properties
space-group type	F-43m (216)
ΔE to the lowest computed polymorph	0.000	eV/atom
formation energy	-0.54	eV/atom

---

No. 2
## Li2CdIr (meta-GGA SCAN)

Data for a crystal of Li2CdIr relaxed with PBEsol.

Cell and atoms, written as CIF:
```
data_Li2CdIr
_space_group_name_H-M_alt 'P 1'
_space_group_IT_number 1
_cell_length_a 2.7095
_cell_length_b 2.7095
_cell_length_c 9.2912
_cell_angle_alpha 90.00
_cell_angle_beta 90.00
_cell_angle_gamma 116.53
loop_
_space_group_symop_operation_xyz
'x,y,z'
loop_
_atom_site_label
_atom_site_fract_x
_atom_site_fract_y
_atom_site_fract_z
Li1 0.0000 0.0000 0.2218
Li2 0.0000 0.0000 0.7782
Ir1 0.5000 0.5000 0.0000
Cd1 0.5000 0.5000 0.5000
```

Properties
space-group type	Cmmm (65)
formation energy	-0.17	eV/atom

---

No. 3
## BaInCoBr2 (meta-GGA SCAN)

Data for a crystal of BaInCoBr2 relaxed with PBEsol.

Cell and atoms, written as CIF:
```
data_BaInCoBr2
_space_group_name_H-M_alt 'P 1'
_space_group_IT_number 1
_cell_length_a 6.0907
_cell_length_b 6.0907
_cell_length_c 5.9188
_cell_angle_alpha 90.00
_cell_angle_beta 90.00
_cell_angle_gamma 90.00
loop_
_space_group_symop_operation_xyz
'x,y,z'
loop_
_atom_site_label
_atom_site_fract_x
_atom_site_fract_y
_atom_site_fract_z
Br1 0.0000 0.5000 0.0000
Ba1 0.0000 0.0000 0.0000
Co1 0.0000 0.0000 0.5000
In1 0.5000 0.5000 0.5000
Br2 0.5000 0.0000 0.0000
```

Properties
space-group type	P4/mmm (123)
formation energy from raw total energies	-301	meV per atom

---

No. 4
## LiTe2F (meta-GGA SCAN)

Data for a crystal of LiTe2F relaxed with PBEsol.

Cell and atoms, written as CIF:
```
data_LiTe2F
_space_group_name_H-M_alt 'P 1'
_space_group_IT_number 1
_cell_length_a 4.6750
_cell_length_b 4.6750
_cell_length_c 4.6750
_cell_angle_alpha 60.00
_cell_angle_beta 60.00
_cell_angle_gamma 60.00
loop_
_space_group_symop_operation_xyz
'x,y,z'
loop_
_atom_site_label
_atom_site_fract_x
_atom_site_fract_y
_atom_site_fract_z
F1 0.5000 0.5000 0.5000
Te1 0.2500 0.2500 0.2500
Li1 0.0000 0.0000 0.0000
Te2 0.7500 0.7500 0.7500
```

Properties
space-group type	Fm-3m (225)
formation energy from raw total energies	-678	meV per atom

---

No. 5
## In4CoBr (meta-GGA SCAN)

Data for a crystal of In4CoBr relaxed with PBEsol.

Cell and atoms, written as CIF:
```
data_In4CoBr
_space_group_name_H-M_alt 'P 1'
_space_group_IT_number 1
_cell_length_a 5.9286
_cell_length_b 5.9286
_cell_length_c 5.9286
_cell_angle_alpha 60.00
_cell_angle_beta 60.00
_cell_angle_gamma 60.00
loop_
_space_group_symop_operation_xyz
'x,y,z'
loop_
_atom_site_label
_atom_site_fract_x
_atom_site_fract_y
_atom_site_fract_z
In1 0.8765 0.3745 0.3745
Br1 0.7500 0.7500 0.7500
Co1 0.0000 0.0000 0.0000
In2 0.3745 0.3745 0.3745
In3 0.3745 0.3745 0.8765
In4 0.3745 0.8765 0.3745
```

Properties
space-group type	F-43m (216)
formation energy from raw total energies	503	meV per atom

---

No. 6
## Mg4AgCl (meta-GGA SCAN)

Data for a crystal of Mg4AgCl relaxed with PBEsol.

Cell and atoms, written as CIF:
```
data_Mg4AgCl
_space_group_name_H-M_alt 'P 1'
_space_group_IT_number 1
_cell_length_a 5.7709
_cell_length_b 5.7709
_cell_length_c 5.7709
_cell_angle_alpha 60.00
_cell_angle_beta 60.00
_cell_angle_gamma 60.00
loop_
_space_group_symop_operation_xyz
'x,y,z'
loop_
_atom_site_label
_atom_site_fract_x
_atom_site_fract_y
_atom_site_fract_z
Cl1 0.0000 0.0000 0.0000
Mg1 0.3759 0.8724 0.3759
Mg2 0.8724 0.3759 0.3759
Mg3 0.3759 0.3759 0.8724
Mg4 0.3759 0.3759 0.3759
Ag1 0.7500 0.7500 0.7500
```

Properties
space-group type	F-43m (216)
formation energy from raw total energies	96	meV per atom

---

No. 7
## SiAu5 (meta-GGA SCAN)

Data for a crystal of SiAu5 relaxed with PBEsol.

Cell and atoms, written as CIF:
```
data_SiAu5
_space_group_name_H-M_alt 'P 1'
_space_group_IT_number 1
_cell_length_a 2.8680
_cell_length_b 5.2567
_cell_length_c 7.1098
_cell_angle_alpha 102.12
_cell_angle_beta 90.00
_cell_angle_gamma 105.83
loop_
_space_group_symop_operation_xyz
'x,y,z'
loop_
_atom_site_label
_atom_site_fract_x
_atom_site_fract_y
_atom_site_fract_z
Au1 0.3029 0.6059 0.7106
Au2 0.0359 0.0719 0.9790
Au3 0.6803 0.3606 0.3571
Si1 0.7408 0.4816 0.9760
Au4 0.0135 0.0270 0.5758
Au5 0.3932 0.7863 0.2347
```

Properties
space-group type	Cm (8)
formation energy from raw total energies	20	meV per atom

---

No. 8
## Ni3BiIr (meta-GGA SCAN)

Data for a crystal of Ni3BiIr relaxed with PBEsol.

Cell and atoms, written as CIF:
```
data_Ni3BiIr
_space_group_name_H-M_alt 'P 1'
_space_group_IT_number 1
_cell_length_a 4.5080
_cell_length_b 4.5080
_cell_length_c 4.5080
_cell_angle_alpha 90.00
_cell_angle_beta 90.00
_cell_angle_gamma 90.00
loop_
_space_group_symop_operation_xyz
'x,y,z'
loop_
_atom_site_label
_atom_site_fract_x
_atom_site_fract_y
_atom_site_fract_z
Ni1 0.5000 0.0000 0.0000
Ni2 0.0000 0.5000 0.0000
Bi1 0.5000 0.5000 0.5000
Ir1 0.0000 0.0000 0.0000
Ni3 0.0000 0.0000 0.5000
```

Properties
space-group type	Pm-3m (221)
formation energy	1.02	eV/atom

---

What did the fifth record say?
## In4CoBr (meta-GGA SCAN)

Data for a crystal of In4CoBr relaxed with PBEsol.

Cell and atoms, written as CIF:
```
data_In4CoBr
_space_group_name_H-M_alt 'P 1'
_space_group_IT_number 1
_cell_length_a 5.9286
_cell_length_b 5.9286
_cell_length_c 5.9286
_cell_angle_alpha 60.00
_cell_angle_beta 60.00
_cell_angle_gamma 60.00
loop_
_space_group_symop_operation_xyz
'x,y,z'
loop_
_atom_site_label
_atom_site_fract_x
_atom_site_fract_y
_atom_site_fract_z
In1 0.8765 0.3745 0.3745
Br1 0.7500 0.7500 0.7500
Co1 0.0000 0.0000 0.0000
In2 0.3745 0.3745 0.3745
In3 0.3745 0.3745 0.8765
In4 0.3745 0.8765 0.3745
```

Properties
space-group type	F-43m (216)
formation energy from raw total energies	503	meV per atom